[1]
{
  "formula": "CaPr3Se6",
  "functional": "PBE",
  "state": "optimized geometry",
  "lattice": [[7.2334, 0.0000, -0.2529], [0.0000, 7.9073, 0.0000], [-0.2706, 0.0000, 10.3283]],
  "species": ["Se", "Se", "Pr", "Se", "Se", "Se", "Se", "Se", "Se", "Se", "Se", "Pr", "Pr", "Ca", "Se", "Pr", "Pr", "Se", "Ca", "Pr"],
  "frac_coords": [[0.6791, 0.4214, 0.2563], [0.3283, 0.8175, 0.4274], [0.0407, 0.6028, 0.2383], [0.6717, 0.1825, 0.5726], [0.3209, 0.5786, 0.7437], [0.8209, 0.9214, 0.2437], [0.8283, 0.6825, 0.9274], [0.3236, 0.8142, 0.0907], [0.1764, 0.3142, 0.4093], [0.6764, 0.1858, 0.9093], [0.1791, 0.0786, 0.7563], [0.9593, 0.3972, 0.7617], [0.0000, 0.0000, 0.5000], [0.5000, 0.5000, 0.5000], [0.1717, 0.3175, 0.0726], [0.5407, 0.8972, 0.7383], [0.5000, 0.5000, 0.0000], [0.8236, 0.6858, 0.5907], [0.0000, 0.0000, 0.0000], [0.4593, 0.1028, 0.2617]],
  "total_energy_ev_per_atom": -5.41,
  "spacegroup": "No. 14",
  "raw_formation_energy_mev_per_atom": -1685,
  "total_magnetization_mub_per_fu": 0.00
}


[2]
{
  "formula": "LiDy2Ag3",
  "functional": "PBE",
  "state": "optimized geometry",
  "lattice": [[-4.8814, 1.3480, -0.0729], [-1.3027, -4.9709, -4.6871], [1.6815, -2.9994, 7.8742]],
  "species": ["Ag", "Ag", "Ag", "Dy", "Li", "Dy", "Ag", "Li", "Ag", "Dy", "Dy", "Ag"],
  "frac_coords": [[0.1487, 0.8987, 0.2974], [0.8513, 0.1013, 0.7026], [0.1487, 0.3987, 0.2974], [0.3302, 0.3303, 0.6607], [0.0000, 0.0000, 0.0000], [0.3305, 0.8303, 0.6607], [0.5000, 0.2500, 0.0000], [0.0000, 0.5000, 0.0000], [0.5000, 0.7500, 0.0000], [0.6698, 0.6697, 0.3393], [0.6695, 0.1697, 0.3393], [0.8513, 0.6013, 0.7026]],
  "total_energy_ev_per_atom": -3.50,
  "relative_energy_ev_per_atom": 0.019,
  "spacegroup": "No. 65",
  "total_magnetization_mub_per_fu": 0.00
}


[3]
{
  "formula": "Ni2PBr",
  "functional": "PBE",
  "state": "optimized geometry",
  "lattice": [[-0.1605, -2.2873, 2.1461], [-1.1912, -1.9434, -2.1604], [6.4840, -2.0658, -1.7168]],
  "species": ["Ni", "P", "Ni", "Br"],
  "frac_coords": [[0.5000, 0.5000, 0.2534], [0.0000, 0.0000, 0.3589], [0.0000, 0.0000, 0.0430], [0.5000, 0.5000, 0.8447]],
  "total_energy_ev_per_atom": -4.60,
  "relative_energy_ev_per_atom": 0.331,
  "spacegroup": "No. 99",
  "raw_formation_energy_mev_per_atom": 66,
  "total_magnetization_mub_per_fu": 1.30
}


[4]
{
  "formula": "Ca2GaCu4Si3",
  "functional": "PBE",
  "state": "optimized geometry",
  "lattice": [[-0.5425, 1.3206, -3.7951], [3.3373, -1.9849, -1.1678], [-5.5990, -8.2049, -2.0548]],
  "species": ["Cu", "Cu", "Cu", "Cu", "Ca", "Si", "Si", "Si", "Ca", "Ga"],
  "frac_coords": [[0.5000, 0.5000, 0.0000], [0.0000, 0.5000, 0.3608], [0.5000, 0.0000, 0.6392], [0.0000, 0.0000, 0.0000], [0.0000, 0.5000, 0.7573], [0.0000, 0.5000, 0.1278], [0.0000, 0.0000, 0.5000], [0.5000, 0.0000, 0.8722], [0.5000, 0.0000, 0.2427], [0.5000, 0.5000, 0.5000]],
  "total_energy_ev_per_atom": -4.32,
  "spacegroup": "No. 115",
  "raw_formation_energy_mev_per_atom": -349,
  "total_magnetization_mub_per_fu": 0.00
}


[5]
{
  "formula": "TbGa5Rh6",
  "functional": "PBE",
  "state": "optimized geometry",
  "lattice": [[4.2294, 0.0017, -0.8812], [-0.0027, 6.4013, -0.0007], [-0.7819, 0.0003, 6.7918]],
  "species": ["Ga", "Rh", "Rh", "Ga", "Rh", "Tb", "Rh", "Ga", "Ga", "Rh", "Rh", "Ga"],
  "frac_coords": [[0.6681, 0.0000, 0.3363], [0.5000, 0.2737, 0.0000], [0.8265, 0.2600, 0.6535], [0.0000, 0.5000, 0.0000], [0.1735, 0.7400, 0.3465], [0.0000, 0.0000, 0.0000], [0.5000, 0.7263, 0.0000], [0.3343, 0.5000, 0.6691], [0.3319, 0.0000, 0.6637], [0.8265, 0.7400, 0.6535], [0.1735, 0.2600, 0.3465], [0.6657, 0.5000, 0.3309]],
  "total_energy_ev_per_atom": -6.05,
  "spacegroup": "No. 10",
  "total_magnetization_mub_per_fu": 0.00
}


[6]
{
  "formula": "Rb4Np3GaTe8",
  "functional": "PBE",
  "state": "optimized geometry",
  "lattice": [[9.2588, 0.0000, 0.0000], [0.0000, 9.9304, 0.4646], [-4.6294, -4.6323, 6.5467]],
  "species": ["Rb", "Np", "Te", "Te", "Te", "Ga", "Rb", "Te", "Te", "Te", "Np", "Rb", "Te", "Rb", "Te", "Np"],
  "frac_coords": [[0.0000, 0.0000, 0.5000], [0.0000, 0.5000, 0.5000], [0.2670, 0.3005, 0.5340], [0.2350, 0.6914, 0.4700], [0.7330, 0.6995, 0.4660], [0.0000, 0.5000, 0.0000], [0.5000, 0.0000, 0.0000], [0.7217, 0.6921, 0.9567], [0.7650, 0.3079, 0.0433], [0.2783, 0.3079, 0.0433], [0.5000, 0.5000, 0.5000], [0.5000, 0.0000, 0.5000], [0.2350, 0.6921, 0.9567], [0.0000, 0.0000, 0.0000], [0.7650, 0.3086, 0.5300], [0.5000, 0.5000, 0.0000]],
  "total_energy_ev_per_atom": -5.23,
  "spacegroup": "No. 12",
  "raw_formation_energy_mev_per_atom": -797,
  "total_magnetization_mub_per_fu": 10.03
}


[7]
{
  "formula": "Pm6GeIr2I3",
  "functional": "PBE",
  "state": "optimized geometry",
  "lattice": [[-4.2362, -3.3315, 5.0300], [5.6364, -3.6335, -3.0617], [4.3513, 4.9275, 5.1250]],
  "species": ["Pm", "Ir", "Pm", "Pm", "I", "Pm", "Pm", "Pm", "I", "Ir", "I", "Ge"],
  "frac_coords": [[0.2854, 0.2854, 0.8124], [0.6670, 0.3330, 0.0000], [0.7146, 0.7146, 0.1876], [0.0621, 0.4098, 0.1885], [0.5000, 0.5000, 0.5000], [0.5902, 0.9379, 0.8115], [0.4098, 0.0621, 0.1885], [0.9379, 0.5902, 0.8115], [0.8375, 0.1625, 0.5000], [0.3330, 0.6670, 0.0000], [0.1625, 0.8375, 0.5000], [0.0000, 0.0000, 0.0000]],
  "total_energy_ev_per_atom": -5.58,
  "spacegroup": "No. 12",
  "raw_formation_energy_mev_per_atom": -951,
  "total_magnetization_mub_per_fu": 0.00
}


[8]
{
  "formula": "Sm3InCo",
  "functional": "PBE",
  "state": "optimized geometry",
  "lattice": [[5.2274, 0.0000, 0.0000], [0.0000, 5.2274, 0.0000], [0.0000, 0.0000, 5.2274]],
  "species": ["Sm", "Sm", "In", "Sm", "Co"],
  "frac_coords": [[0.0000, 0.0000, 0.5000], [0.0000, 0.5000, 0.0000], [0.5000, 0.5000, 0.5000], [0.5000, 0.0000, 0.0000], [0.0000, 0.0000, 0.0000]],
  "total_energy_ev_per_atom": -4.96,
  "relative_energy_ev_per_atom": 0.050,
  "spacegroup": "No. 221",
  "total_magnetization_mub_per_fu": 0.00
}


[9]
{
  "formula": "LuInAg4",
  "functional": "PBE",
  "state": "optimized geometry",
  "lattice": [[-2.0301, -2.3902, 4.5978], [-4.3928, -3.4004, -0.3389], [0.6448, -5.4682, 0.8104]],
  "species": ["Ag", "In", "Ag", "Ag", "Lu", "Ag"],
  "frac_coords": [[0.6249, 0.1253, 0.6249], [0.0000, 0.0000, 0.0000], [0.1253, 0.6249, 0.6249], [0.6249, 0.6249, 0.1253], [0.2500, 0.2500, 0.2500], [0.6249, 0.6249, 0.6249]],
  "total_energy_ev_per_atom": -3.30,
  "spacegroup": "No. 216",
  "total_magnetization_mub_per_fu": 0.00
}


[10]
{
  "formula": "KInAs",
  "functional": "PBE",
  "state": "optimized geometry",
  "lattice": [[-5.0134, -3.2308, -2.9287], [-0.3611, -3.3003, -5.7556], [3.4238, 0.9725, 5.6108]],
  "species": ["K", "In", "As"],
  "frac_coords": [[0.6619, 0.6619, 0.0000], [0.3748, 0.3748, 0.0000], [0.9633, 0.9633, 0.0000]],
  "total_energy_ev_per_atom": -3.00,
  "spacegroup": "No. 107",
  "total_magnetization_mub_per_fu": 0.00
}


[11]
{
  "formula": "K2CaCl",
  "functional": "PBE",
  "state": "optimized geometry",
  "lattice": [[-2.6281, -0.4208, 2.8380], [2.8290, -1.0185, 2.4688], [4.1631, 9.3914, 5.2476]],
  "species": ["K", "Cl", "K", "Ca"],
  "frac_coords": [[0.0000, 0.0771, 0.9225], [0.5000, 0.7500, 0.7500], [0.0000, 0.4229, 0.5775], [0.5000, 0.2500, 0.2500]],
  "total_energy_ev_per_atom": -2.32,
  "relative_energy_ev_per_atom": 0.044,
  "spacegroup": "No. 123",
  "raw_formation_energy_mev_per_atom": -808,
  "total_magnetization_mub_per_fu": 0.00
}


[12]
{
  "formula": "PmNdTlAu",
  "functional": "PBE",
  "state": "optimized geometry",
  "lattice": [[-4.9715, 2.0166, -0.5081], [-4.2296, -3.3191, -0.3665], [-3.4914, -0.3770, 4.0876]],
  "species": ["Pm", "Au", "Nd", "Tl"],
  "frac_coords": [[0.7500, 0.7500, 0.7500], [0.0000, 0.0000, 0.0000], [0.2500, 0.2500, 0.2500], [0.5000, 0.5000, 0.5000]],
  "total_energy_ev_per_atom": -4.32,
  "relative_energy_ev_per_atom": 0.045,
  "spacegroup": "No. 216",
  "total_magnetization_mub_per_fu": 0.44
}